First-principles (GGA+U) data for a geometry-optimized Na3MnTl3O8 structure, as listed in Alexandria via LeMat-Bulk.

## Properties
E ... -5.0079 eV per atom
SG ... R-3m, No. 166
Theoretical density ... 6.8 g/cm3

Geometry as extended XYZ:
```
15
Lattice="3.317 1.915 5.582 -3.317 1.915 5.582 0.000 -3.830 5.582" Properties=species:S:1:pos:R:3 pbc="T T T"
Na -1.659 -0.958 5.582
Na -1.659 0.958 11.163
Na 0.000 1.915 5.582
Mn 0.000 0.000 8.372
Tl -3.317 0.000 8.372
Tl -1.659 0.958 2.791
Tl 1.659 0.958 2.791
O 0.000 0.000 4.045
O -1.421 -0.821 9.485
O 0.000 -1.641 7.260
O -1.421 0.821 7.260
O 1.421 -0.821 9.485
O 0.000 1.641 9.485
O 1.421 0.821 7.260
O 0.000 0.000 12.700
```